Entry 1:
# La2AgRuPb PBE-GGA optimized geometry
# total magnetization = 0.0 μB per cell
# calculated formation energy = -91 kJ/mol of formula units
# N(E_F) = 3.08 states/eV per cell
data_La2AgRuPb
_chemical_formula_sum 'La2 Ag1 Ru1 Pb1'
_cell_length_a 5.454
_cell_length_b 5.454
_cell_length_c 5.238
_cell_angle_alpha 90.00
_cell_angle_beta 90.00
_cell_angle_gamma 90.00
_space_group_name_H-M_alt 'P 4/m m m'
_space_group_IT_number 123
_space_group_name_Hall '-P 4 2'
loop_
_atom_site_label
_atom_site_fract_x
_atom_site_fract_y
_atom_site_fract_z
La1 0.000 0.500 0.000
Ag1 0.000 0.000 0.500
Ru1 0.500 0.500 0.000
Pb1 0.500 0.500 0.500

=====

Entry 2:
# Ba3ErU2O9 PBE-GGA optimized geometry
# total magnetization = 3.0 μB per cell
# formation energy without anion corrections = -3.178 eV/atom
# N(E_F) = 7.90 states/eV per cell
data_Ba3ErU2O9
_chemical_formula_sum 'Ba3 Er1 U2 O9'
_cell_length_a 6.2339
_cell_length_b 6.2339
_cell_length_c 7.6501
_cell_angle_alpha 90.00
_cell_angle_beta 90.00
_cell_angle_gamma 120.00
_space_group_name_H-M_alt 'P -3 m 1'
_space_group_IT_number 164
_space_group_name_Hall '-P 3 2"'
loop_
_atom_site_label
_atom_site_fract_x
_atom_site_fract_y
_atom_site_fract_z
Ba1 0.0000 0.0000 0.0000
Ba2 0.3333 0.6667 0.6582
Er1 0.0000 0.0000 0.5000
U1 0.3333 0.6667 0.1699
O1 0.0000 0.5000 0.0000
O2 0.1691 0.3381 0.3316

=====

Entry 3:
# SrSc2InC PBE-GGA optimized geometry
# total magnetization = 0.0 μB per cell
# calculated formation energy = -103 kJ/mol of formula units
# N(E_F) = 5.48 states/eV per cell
data_SrSc2InC
_chemical_formula_sum 'Sr1 Sc2 In1 C1'
_cell_length_a 4.639
_cell_length_b 4.639
_cell_length_c 5.330
_cell_angle_alpha 90.00
_cell_angle_beta 90.00
_cell_angle_gamma 90.00
_space_group_name_H-M_alt 'P 4/m m m'
_space_group_IT_number 123
_space_group_name_Hall '-P 4 2'
loop_
_atom_site_label
_atom_site_fract_x
_atom_site_fract_y
_atom_site_fract_z
Sr1 0.000 0.000 0.000
Sc1 0.000 0.500 0.500
In1 0.500 0.500 0.000
C1 0.000 0.000 0.500

=====

Entry 4:
# Th2CoAu PBE-GGA optimized geometry
# total magnetization = 0.0 μB per cell
# calculated formation energy = -180 kJ/mol of formula units
# N(E_F) = 4.77 states/eV per cell
data_Th2CoAu
_chemical_formula_sum 'Th4 Co2 Au2'
_cell_length_a 6.856
_cell_length_b 3.945
_cell_length_c 7.793
_cell_angle_alpha 90.00
_cell_angle_beta 107.06
_cell_angle_gamma 90.00
_space_group_name_H-M_alt 'C 1 2/m 1'
_space_group_IT_number 12
loop_
_space_group_symop_operation_xyz
'x,y,z'
'-x,-y,-z'
'-x,y,-z'
'x,-y,z'
'x+1/2,y+1/2,z'
'-x+1/2,-y+1/2,-z'
'-x+1/2,y+1/2,-z'
'x+1/2,-y+1/2,z'
loop_
_atom_site_label
_atom_site_fract_x
_atom_site_fract_y
_atom_site_fract_z
Th1 0.236 0.000 0.208
Co1 0.000 0.500 0.000
Au1 0.000 0.000 0.500

=====

Entry 5:
# CsBaCr2I8 PBE-GGA optimized geometry
# total magnetization = 21.0 μB per cell
# formation energy without anion corrections = -0.785 eV/atom
# N(E_F) = 42.29 states/eV per cell
data_CsBaCr2I8
_chemical_formula_sum 'Cs3 Ba3 Cr6 I24'
_cell_length_a 7.8462
_cell_length_b 7.8462
_cell_length_c 32.9818
_cell_angle_alpha 90.00
_cell_angle_beta 90.00
_cell_angle_gamma 120.00
_space_group_name_H-M_alt 'R -3'
_space_group_IT_number 148
_space_group_name_Hall '-R 3'
loop_
_atom_site_label
_atom_site_fract_x
_atom_site_fract_y
_atom_site_fract_z
Cs1 0.0000 0.0000 0.0000
Ba1 0.0000 0.0000 0.5000
Cr1 0.0000 0.0000 0.2496
I1 0.0000 0.0000 0.3278
I2 0.0090 0.3617 0.5634

=====

Entry 6:
# Pm6AlNi2 PBE-GGA optimized geometry
# total magnetization = 0.0 μB per cell
# calculated formation energy = -209 kJ/mol of formula units
# N(E_F) = 36.08 states/eV per cell
data_Pm6AlNi2
_chemical_formula_sum 'Pm24 Al4 Ni8'
_cell_length_a 9.386
_cell_length_b 9.962
_cell_length_c 10.356
_cell_angle_alpha 90.00
_cell_angle_beta 90.00
_cell_angle_gamma 90.00
_space_group_name_H-M_alt 'I m m m'
_space_group_IT_number 71
_space_group_name_Hall '-I 2 2'
loop_
_atom_site_label
_atom_site_fract_x
_atom_site_fract_y
_atom_site_fract_z
Pm1 0.000 0.194 0.234
Pm2 0.191 0.500 0.175
Pm3 0.211 0.319 0.500
Al1 0.000 0.000 0.000
Al2 0.000 0.000 0.500
Ni1 0.000 0.345 0.000
Ni2 0.000 0.500 0.380